! TmCu6O12 PBE optimized geometry; values from VASP
&SYSTEM
  ibrav = 0, nat = 19, ntyp = 3
/
ATOMIC_SPECIES
Tm 168.93 Tm.upf
Cu 63.55 Cu.upf
O 16.00 O.upf
ATOMIC_POSITIONS angstrom
Tm 0.000 0.000 0.000
Cu 3.718 1.225 0.000
Cu 3.718 0.000 2.493
Cu 2.493 3.718 0.000
Cu 1.225 0.000 3.718
Cu 0.000 3.718 1.225
Cu 0.000 2.493 3.718
O 2.425 0.000 1.106
O 5.010 0.000 1.106
O 3.718 2.612 -1.292
O 1.106 2.425 0.000
O 2.612 -1.292 3.718
O 0.000 1.106 2.425
O 3.718 2.612 1.292
O 1.106 5.010 0.000
O 2.612 1.292 3.718
O 0.000 1.106 5.010
O -1.292 3.718 2.612
O 1.292 3.718 2.612
CELL_PARAMETERS angstrom
-3.718 3.718 3.718
3.718 -3.718 3.718
3.718 3.718 -3.718
! ΔE_f (raw) (eV per atom): -0.23
! Total moment (μB per formula unit): 8.658
! Space-group type: Im-3
! DFT total energy (eV per formula unit): -92.91

=====

! Tb2PuS3 PBE optimized geometry; values from VASP
&SYSTEM
  ibrav = 0, nat = 6, ntyp = 3
/
ATOMIC_SPECIES
Tb 158.93 Tb.upf
Pu 244.00 Pu.upf
S 32.06 S.upf
ATOMIC_POSITIONS angstrom
Tb 0.000 0.000 1.985
Tb 0.000 0.000 9.856
Pu 0.000 0.000 5.920
S 1.965 0.000 0.000
S 1.965 0.000 3.943
S 0.000 2.777 1.978
CELL_PARAMETERS angstrom
-1.965 2.777 5.920
1.965 -2.777 5.920
1.965 2.777 -5.920
! ΔE_f (raw) (eV per atom): -1.96
! Total moment (μB per formula unit): 5.791
! Space-group type: Immm
! DFT total energy (eV per formula unit): -47.73

=====

! SrTcWS2 PBE optimized geometry; values from VASP
&SYSTEM
  ibrav = 0, nat = 5, ntyp = 4
/
ATOMIC_SPECIES
Sr 87.62 Sr.upf
Tc 98.00 Tc.upf
W 183.84 W.upf
S 32.06 S.upf
ATOMIC_POSITIONS angstrom
Sr 0.000 0.000 0.000
Tc 2.430 2.430 2.363
W 2.430 2.430 0.000
S 0.000 2.430 2.363
S 2.430 0.000 2.363
CELL_PARAMETERS angstrom
4.859 0.000 0.000
0.000 4.859 0.000
0.000 0.000 4.726
! ΔE_f (raw) (eV per atom): 0.41
! Total moment (μB per formula unit): 0.000
! Space-group type: P4/mmm
! DFT total energy (eV per formula unit): -31.18

=====

! Te2OsAu PBE optimized geometry; values from VASP
&SYSTEM
  ibrav = 0, nat = 4, ntyp = 3
/
ATOMIC_SPECIES
Te 127.60 Te.upf
Os 190.23 Os.upf
Au 196.97 Au.upf
ATOMIC_POSITIONS angstrom
Te 0.000 0.000 0.000
Te 1.704 0.000 2.548
Os 0.000 2.380 2.548
Au 1.704 2.380 0.000
CELL_PARAMETERS angstrom
3.408 0.000 0.000
0.000 4.761 0.000
0.000 0.000 5.096
! ΔE_f (raw) (eV per atom): 0.96
! Distance to the lowest polymorph of the same formula (eV per atom): 0.785
! Total moment (μB per formula unit): 0.000
! Space-group type: Pmmm
! DFT total energy (eV per formula unit): -16.94